#A
Material: LaNiSb2Pd
Method: DFT, GGA-PBE
State: optimized geometry

a b c (Å): 4.621 4.621 10.142
angles (deg): 90.00 90.00 90.00
Fractional positions:
La (0.000, 0.500, 0.251)
La (0.500, 0.000, 0.749)
Ni (0.500, 0.000, 0.112)
Ni (0.000, 0.500, 0.888)
Pd (0.000, 0.000, 0.500)
Pd (0.500, 0.500, 0.500)
Sb (0.000, 0.000, 0.000)
Sb (0.500, 0.500, 0.000)
Sb (0.500, 0.000, 0.359)
Sb (0.000, 0.500, 0.641)

Output
Total magnetization   0.00 μB/cell
Crystal system   tetragonal


#B
Material: LaNiSb2Pd
Method: DFT, GGA-PBE
State: optimized geometry

a b c (Å): 4.560 4.560 10.551
angles (deg): 90.00 90.00 90.00
Fractional positions:
La (0.000, 0.500, 0.271)
La (0.500, 0.000, 0.729)
Ni (0.000, 0.000, 0.500)
Ni (0.500, 0.500, 0.500)
Pd (0.500, 0.000, 0.137)
Pd (0.000, 0.500, 0.863)
Sb (0.000, 0.000, 0.000)
Sb (0.500, 0.500, 0.000)
Sb (0.500, 0.000, 0.386)
Sb (0.000, 0.500, 0.614)

Output
Total magnetization   0.01 μB/cell
Crystal system   tetragonal


Most stable structure among those shown: #A. Next: +0.052 eV/atom.